1.
# MgSc2Mn, relaxed, DFT PBE
data_MgSc2Mn
_cell_length_a 6.8545
_cell_length_b 6.8545
_cell_length_c 6.8545
_cell_angle_alpha 90.00
_cell_angle_beta 90.00
_cell_angle_gamma 90.00
_space_group_name_H-M_alt 'F -4 3 m'
_space_group_IT_number 216
_space_group_name_Hall 'F -4 2 3'
loop_
_atom_site_label
_atom_site_type_symbol
_atom_site_fract_x
_atom_site_fract_y
_atom_site_fract_z
_atom_site_occupancy
Mg1 Mg 0.0000 0.0000 0.0000 1
Sc1 Sc 0.0000 0.0000 0.5000 1
Sc2 Sc 0.2500 0.2500 0.7500 1
Mn1 Mn 0.2500 0.2500 0.2500 1
# Energy in eV/atom: -5.693
# Volume in Å³/f.u.: 80.51
# Energy relative to the elements in eV/atom: 0.163

2.
# MgSc2Mn, relaxed, DFT PBE
data_MgSc2Mn
_cell_length_a 3.1428
_cell_length_b 3.1428
_cell_length_c 29.6893
_cell_angle_alpha 90.00
_cell_angle_beta 90.00
_cell_angle_gamma 120.00
_space_group_name_H-M_alt 'R 3 m'
_space_group_IT_number 160
_space_group_name_Hall 'R 3 -2"'
loop_
_atom_site_label
_atom_site_type_symbol
_atom_site_fract_x
_atom_site_fract_y
_atom_site_fract_z
_atom_site_occupancy
Mg1 Mg 0.0000 0.0000 0.0000 1
Sc1 Sc 0.0000 0.0000 0.5160 1
Sc2 Sc 0.0000 0.0000 0.7573 1
Mn1 Mn 0.0000 0.0000 0.2564 1
# Energy in eV/atom: -5.659
# Volume in Å³/f.u.: 84.65
# Energy relative to the elements in eV/atom: 0.198

3.
# MgSc2Mn, relaxed, DFT PBE
data_MgSc2Mn
_cell_length_a 7.4148
_cell_length_b 7.4148
_cell_length_c 5.8764
_cell_angle_alpha 90.00
_cell_angle_beta 90.00
_cell_angle_gamma 90.00
_space_group_name_H-M_alt 'I -4 2 d'
_space_group_IT_number 122
_space_group_name_Hall 'I -4 2bw'
loop_
_atom_site_label
_atom_site_type_symbol
_atom_site_fract_x
_atom_site_fract_y
_atom_site_fract_z
_atom_site_occupancy
Mg1 Mg 0.0000 0.0000 0.0000 1
Sc1 Sc 0.1984 0.2500 0.6250 1
Mn1 Mn 0.0000 0.0000 0.5000 1
# Energy in eV/atom: -5.368
# Volume in Å³/f.u.: 80.77
# Energy relative to the elements in eV/atom: 0.489

What is the energy relative to the elements in the third record? 0.489 eV/atom